## KPu2MgO8 (PBE)

Data for KPu2MgO8 after structural relaxation.

a b c (Å): 5.0344 5.0387 6.9887
angles (deg): 89.06 89.05 85.62
With the nearest neighbours (Å) after each atom.
Space group P-1 (No. 2)
Unique sites:
K  0.0000  0.0000  0.0000  6 O 2.51
Pu  0.4942  0.4941  0.2594  4 O 1.90-2.06
Mg  0.0000  0.0000  0.5000  6 O 2.15-2.32
O  0.2233  0.7753  0.2841  1 Pu 1.90
O  0.2273  0.7797  0.7157  1 Pu 1.90
O  0.3131  0.3155  0.4898  2 Pu 2.06-2.28
O  0.3368  0.3403  0.9703  1 Pu 2.00

## Properties
- Formation energy from raw total energies: -2.32 eV/atom
- DFT total energy: -8.24 eV/atom
- Magnetic moment: 3.00 μB per formula unit